Below is a geometry-optimized V2ZnPbO8 structure, with properties calculated at the PBE+U level.

Calculated values
VASP energy ... -6.406 eV/atom
Theoretical density ... 4.824 Mg/m³
Total moment ... 0.0 μB/cell

a = 5.778 Å, b = 5.778 Å, c = 5.982 Å
α = 90.00°, β = 90.00°, γ = 120.00°
Fractional coordinates of all 12 atoms:
Zn (0.000, 0.000, 0.500)
O (0.682, 0.841, 0.737)
O (0.841, 0.159, 0.263)
O (0.159, 0.841, 0.737)
O (0.159, 0.318, 0.737)
O (0.318, 0.159, 0.263)
O (0.841, 0.682, 0.263)
O (0.333, 0.667, 0.086)
O (0.667, 0.333, 0.914)
V (0.667, 0.333, 0.185)
V (0.333, 0.667, 0.815)
Pb (0.000, 0.000, 0.000)